[1]
DFT (GGA-PBE) results for an optimized crystal structure of PrCuAsP.

abc: 3.8934 3.8934 10.1425
angles: 90.00 90.00 90.00
With the nearest neighbours (Å) after each atom.
Space group P4/nmm (No. 129, origin choice 2)
Inequivalent atoms, fractional coordinates:
Pr (0.2500, 0.2500, 0.2447) [2 per cell]  4 P 2.99, 4 As 3.15, 4 Cu 3.24
Cu (0.2500, 0.7500, 0.5000) [2 per cell]  4 P 2.42
As (0.2500, 0.7500, 0.0000) [2 per cell]  4 As 2.75
P (0.2500, 0.2500, 0.6414) [2 per cell]  4 Cu 2.42

Properties
- DFT total energy (eV/cell) = -44.12

***

[2]
DFT (GGA-PBE) results for an optimized crystal structure of Sm2Zn3Ir2.

abc: 9.9720 4.1685 7.1283
angles: 90.00 112.84 90.00
With the nearest neighbours (Å) after each atom.
Space group C2/m (No. 12)
Inequivalent atoms, fractional coordinates:
Sm (0.1462, 0.0000, 0.2716) [4 per cell]  4 Ir 2.93-3.05, 4 Zn 3.06-3.26
Zn (0.0000, 0.5000, 0.5000) [2 per cell]  4 Ir 2.58
Zn (0.1407, 0.5000, 0.9419) [4 per cell]  3 Ir 2.67-2.72, 3 Zn 2.90-2.91
Ir (0.1375, 0.0000, 0.6952) [4 per cell]  5 Zn 2.58-2.72

Properties
- ΔH_f (0 K) (kJ/mol of formula units) = -381
- DFT total energy (eV/cell) = -69.76

***

[3]
DFT (GGA-PBE) results for an optimized crystal structure of Lu3Al.

abc: 6.6275 6.6275 5.2963
angles: 90.00 90.00 120.00
With the nearest neighbours (Å) after each atom.
Space group P6_3/mmc (No. 194)
Inequivalent atoms, fractional coordinates:
Lu (0.1717, 0.3434, 0.2500) [6 per cell]  8 Lu 3.21-3.41, 4 Al 3.23-3.31
Al (0.3333, 0.6667, 0.7500) [2 per cell]  12 Lu 3.23-3.31

Properties
- DFT total energy (eV/cell) = -36.20

***

[4]
DFT (GGA-PBE) results for an optimized crystal structure of Na3PrSm2Pb3.

abc: 5.2423 5.2423 10.8320
angles: 90.00 90.00 120.00
With the nearest neighbours (Å) after each atom.
Space group P-6m2 (No. 187)
Inequivalent atoms, fractional coordinates:
Na (0.0000, 0.0000, 0.0000) [1 per cell]  3 Pb 3.03
Na (0.6667, 0.3333, 0.3127) [2 per cell]  4 Pb 3.04-3.39
Pr (0.3333, 0.6667, 0.5000) [1 per cell]  6 Pb 3.48, 2 Sm 3.63, 6 Na 3.64
Sm (0.3333, 0.6667, 0.1648) [2 per cell]  6 Na 3.42-3.51, 6 Pb 3.51-3.58, 1 Sm 3.57, 1 Pr 3.63
Pb (0.0000, 0.0000, 0.3405) [2 per cell]  3 Na 3.04
Pb (0.6667, 0.3333, 0.0000) [1 per cell]  5 Na 3.03-3.39

Properties
- DFT total energy (eV/cell) = -31.67

***

[5]
DFT (GGA-PBE) results for an optimized crystal structure of PrNi2SnP.

abc: 4.1622 4.1622 10.0562
angles: 90.00 90.00 90.00
With the nearest neighbours (Å) after each atom.
Space group P4/nmm (No. 129, origin choice 2)
Inequivalent atoms, fractional coordinates:
Pr (0.2500, 0.2500, 0.2214) [2 per cell]  8 Ni 3.05-3.18, 5 P 3.12-3.40
Ni (0.2500, 0.2500, 0.6591) [2 per cell]  1 P 2.25
Ni (0.2500, 0.7500, 0.0000) [2 per cell]  4 P 2.39
Sn (0.2500, 0.7500, 0.5000) [2 per cell]  4 Ni 2.62
P (0.2500, 0.2500, 0.8829) [2 per cell]  5 Ni 2.25-2.39

Properties
- DFT total energy (eV/cell) = -58.51

***

[6]
DFT (GGA-PBE) results for an optimized crystal structure of Cu3Ag.

abc: 2.6901 2.6901 51.7067
angles: 90.00 90.00 120.00
With the nearest neighbours (Å) after each atom.
Space group R-3m (No. 166, hexagonal axes)
Inequivalent atoms, fractional coordinates:
Cu (0.0000, 0.0000, 0.0000) [3 per cell]  6 Cu 2.69, 6 Ag 2.75
Cu (0.0000, 0.0000, 0.1272) [6 per cell]  12 Cu 2.55-2.69
Cu (0.0000, 0.0000, 0.2452) [6 per cell]  9 Cu 2.55-2.69, 3 Ag 2.76
Cu (0.0000, 0.0000, 0.5000) [3 per cell]  12 Cu 2.56-2.69
Ag (0.0000, 0.0000, 0.3773) [6 per cell]  6 Ag 2.69, 6 Cu 2.75-2.76

Properties
- ΔH_f (0 K) (kJ/mol of formula units) = 37
- DFT total energy (eV/cell) = -81.55

***

[7]
DFT (GGA-PBE) results for an optimized crystal structure of RbNi2Se3.

abc: 3.6504 14.9995 10.0472
angles: 90.00 90.00 90.00
With the nearest neighbours (Å) after each atom.
Space group Cmcm (No. 63)
Inequivalent atoms, fractional coordinates:
Rb (0.0000, 0.2489, 0.2500) [4 per cell]  8 Se 3.51-3.60, 2 Ni 3.60, 2 Rb 3.65
Ni (0.0000, 0.0440, 0.7500) [4 per cell]  4 Se 2.30-2.32
Ni (0.0000, 0.5000, 0.0000) [4 per cell]  6 Se 2.44-2.62
Se (0.0000, 0.1051, 0.5374) [8 per cell]  3 Ni 2.32-2.44
Se (0.0000, 0.4512, 0.7500) [4 per cell]  2 Ni 2.30

Properties
- DFT total energy (eV/cell) = -100.26

***

[8]
DFT (GGA-PBE) results for an optimized crystal structure of SmErGa2Ag2.

abc: 4.6078 4.6078 7.0900
angles: 90.00 90.00 120.00
With the nearest neighbours (Å) after each atom.
Space group P-6m2 (No. 187)
Inequivalent atoms, fractional coordinates:
Sm (0.0000, 0.0000, 0.0000) [1 per cell]  6 Ga 3.10, 6 Ag 3.28
Er (0.0000, 0.0000, 0.5000) [1 per cell]  6 Ag 3.12, 6 Ga 3.30
Ga (0.6667, 0.3333, 0.2253) [2 per cell]  3 Ag 2.68
Ag (0.3333, 0.6667, 0.2698) [2 per cell]  3 Ga 2.68

Properties
- DFT total energy (eV/cell) = -23.96

***

[9]
DFT (GGA-PBE) results for an optimized crystal structure of LiTa3Sn5.

abc: 5.8333 5.8333 7.5316
angles: 90.00 90.00 120.00
With the nearest neighbours (Å) after each atom.
Space group P6/mmm (No. 191)
Inequivalent atoms, fractional coordinates:
Li (0.0000, 0.0000, 0.0000) [1 per cell]  14 Sn 3.65-3.77
Ta (0.0000, 0.5000, 0.5000) [3 per cell]  6 Sn 2.89-2.92, 4 Ta 2.92
Sn (0.0000, 0.0000, 0.5000) [1 per cell]  6 Ta 2.92
Sn (0.3333, 0.6667, 0.1883) [4 per cell]  1 Sn 2.84, 3 Ta 2.89

Properties
- DFT total energy (eV/cell) = -56.80

***

[10]
DFT (GGA-PBE) results for an optimized crystal structure of Al8ReMo2.

abc: 9.0845 3.7778 9.8262
angles: 90.00 100.34 90.00
With the nearest neighbours (Å) after each atom.
Space group C2/m (No. 12)
Inequivalent atoms, fractional coordinates:
Al (0.0395, 0.0000, 0.3272) [4 per cell]  2 Mo 2.60, 2 Re 2.61, 7 Al 2.69-2.86
Al (0.1334, 0.0000, 0.9568) [4 per cell]  7 Al 2.70-2.95, 5 Mo 2.83-2.92
Al (0.1852, 0.5000, 0.7752) [4 per cell]  8 Al 2.70-2.86, 3 Mo 2.72-2.74, 1 Re 2.92
Al (0.2266, 0.0000, 0.5882) [4 per cell]  8 Al 2.65-2.85, 1 Mo 2.69, 3 Re 2.77-2.81
Re (0.0000, 0.5000, 0.5000) [2 per cell]  12 Al 2.61-2.92
Mo (0.0946, 0.5000, 0.1621) [4 per cell]  10 Al 2.60-2.89

Properties
- DFT total energy (eV/cell) = -134.21

***

[11]
DFT (GGA-PBE) results for an optimized crystal structure of PrTaPt.

abc: 6.6943 6.6943 6.6943
angles: 90.00 90.00 90.00
With the nearest neighbours (Å) after each atom.
Space group F-43m (No. 216)
Inequivalent atoms, fractional coordinates:
Pr (0.0000, 0.0000, 0.0000) [4 per cell]  4 Pt 2.90
Ta (0.0000, 0.0000, 0.5000) [4 per cell]  4 Pt 2.90
Pt (0.2500, 0.2500, 0.2500) [4 per cell]  4 Pr 2.90, 4 Ta 2.90

Properties
- ΔH_f (0 K) (kJ/mol of formula units) = 37
- DFT total energy (eV/cell) = -89.20

***

[12]
DFT (GGA-PBE) results for an optimized crystal structure of PmBiSe2I2.

abc: 4.8778 4.8778 8.0929
angles: 90.00 90.00 90.00
With the nearest neighbours (Å) after each atom.
Space group P4mm (No. 99)
Inequivalent atoms, fractional coordinates:
Pm (0.0000, 0.0000, 0.0000) [1 per cell]  4 Se 2.98, 1 I 3.21
Bi (0.5000, 0.5000, 0.3982) [1 per cell]  4 Se 2.87
Se (0.0000, 0.5000, 0.2111) [2 per cell]  2 Bi 2.87, 2 Pm 2.98
I (0.0000, 0.0000, 0.6037) [1 per cell]  1 Pm 3.21
I (0.5000, 0.5000, 0.8593) [1 per cell]  4 Pm 3.63, 1 Bi 3.73, 4 Se 3.75, 4 I 4.02

Properties
- DFT total energy (eV/cell) = -24.62

***

[13]
DFT (GGA-PBE) results for an optimized crystal structure of NaNi2Se3.

abc: 7.3898 3.6034 9.1891
angles: 90.00 110.39 90.00
With the nearest neighbours (Å) after each atom.
Space group P2_1/m (No. 11)
Inequivalent atoms, fractional coordinates:
Na (0.2427, 0.2500, 0.2084) [2 per cell]  6 Se 3.03-3.09
Ni (0.1885, 0.7500, 0.6514) [2 per cell]  6 Se 2.42-2.52
Ni (0.4239, 0.2500, 0.8847) [2 per cell]  4 Se 2.31-2.37
Se (0.0445, 0.7500, 0.3714) [2 per cell]  3 Ni 2.42-2.45
Se (0.2537, 0.7500, 0.9398) [2 per cell]  4 Ni 2.35-2.52
Se (0.4042, 0.2500, 0.6287) [2 per cell]  3 Ni 2.31-2.46

Properties
- DFT total energy (eV/cell) = -50.71

***

[14]
DFT (GGA-PBE) results for an optimized crystal structure of PmPrGa4.

abc: 4.2756 4.2756 8.5869
angles: 90.00 90.00 120.00
With the nearest neighbours (Å) after each atom.
Space group P6/mmm (No. 191)
Inequivalent atoms, fractional coordinates:
Pm (0.0000, 0.0000, 0.0000) [1 per cell]  12 Ga 3.25
Pr (0.0000, 0.0000, 0.5000) [1 per cell]  12 Ga 3.29
Ga (0.3333, 0.6667, 0.2464) [4 per cell]  3 Ga 2.47

Properties
- DFT total energy (eV/cell) = -25.80

***

[15]
DFT (GGA-PBE) results for an optimized crystal structure of CsLiMoPd.

abc: 7.1388 7.1388 7.1388
angles: 90.00 90.00 90.00
With the nearest neighbours (Å) after each atom.
Space group F-43m (No. 216)
Inequivalent atoms, fractional coordinates:
Cs (0.0000, 0.0000, 0.0000) [4 per cell]  4 Mo 3.09, 4 Pd 3.09
Li (0.0000, 0.0000, 0.5000) [4 per cell]  4 Pd 3.09, 4 Mo 3.09
Mo (0.2500, 0.2500, 0.2500) [4 per cell]  4 Li 3.09, 4 Cs 3.09
Pd (0.2500, 0.2500, 0.7500) [4 per cell]  4 Li 3.09, 4 Cs 3.09

Properties
- DFT total energy (eV/cell) = -54.35

***

[16]
DFT (GGA-PBE) results for an optimized crystal structure of NaSmNiSe3.

abc: 11.2172 4.1165 11.9067
angles: 90.00 90.00 90.00
With the nearest neighbours (Å) after each atom.
Space group Pnma (No. 62)
Inequivalent atoms, fractional coordinates:
Na (0.1822, 0.2500, 0.0043) [4 per cell]  7 Se 3.01-3.20, 2 Ni 3.37
Sm (0.0168, 0.2500, 0.3164) [4 per cell]  7 Se 2.93-3.11
Ni (0.2498, 0.2500, 0.7188) [4 per cell]  4 Se 2.34-2.41
Se (0.0547, 0.7500, 0.1449) [4 per cell]  1 Ni 2.36
Se (0.1156, 0.2500, 0.5605) [4 per cell]  1 Ni 2.41
Se (0.2168, 0.7500, 0.8065) [4 per cell]  2 Ni 2.34

Properties
- DFT total energy (eV/cell) = -114.43

***

[17]
DFT (GGA-PBE) results for an optimized crystal structure of Hf2ZnRe.

abc: 4.0904 4.0904 11.6010
angles: 90.00 90.00 120.00
With the nearest neighbours (Å) after each atom.
Space group P6_3/mmc (No. 194)
Inequivalent atoms, fractional coordinates:
Hf (0.3333, 0.6667, 0.1037) [4 per cell]  3 Re 2.65, 3 Zn 2.91
Zn (0.3333, 0.6667, 0.7500) [2 per cell]  6 Hf 2.91
Re (0.0000, 0.0000, 0.0000) [2 per cell]  6 Hf 2.65

Properties
- ΔH_f (0 K) (kJ/mol of formula units) = 159
- DFT total energy (eV/cell) = -63.90

***

[18]
DFT (GGA-PBE) results for an optimized crystal structure of HoTm2In.

abc: 4.7839 4.7839 4.8008
angles: 90.00 90.00 90.00
With the nearest neighbours (Å) after each atom.
Space group P4/mmm (No. 123)
Inequivalent atoms, fractional coordinates:
Ho (0.0000, 0.0000, 0.0000) [1 per cell]  4 In 3.38, 8 Tm 3.39
Tm (0.0000, 0.5000, 0.5000) [2 per cell]  4 Tm 3.38, 4 In 3.39, 4 Ho 3.39
In (0.5000, 0.5000, 0.0000) [1 per cell]  4 Ho 3.38, 8 Tm 3.39

Properties
- DFT total energy (eV/cell) = -17.30

***

[19]
DFT (GGA-PBE) results for an optimized crystal structure of TcAgPd2.

abc: 6.2911 6.2911 6.2911
angles: 90.00 90.00 90.00
With the nearest neighbours (Å) after each atom.
Space group F-43m (No. 216)
Inequivalent atoms, fractional coordinates:
Tc (0.0000, 0.0000, 0.0000) [4 per cell]  4 Ag 2.72, 4 Pd 2.72
Ag (0.2500, 0.2500, 0.2500) [4 per cell]  4 Pd 2.72, 4 Tc 2.72
Pd (0.0000, 0.0000, 0.5000) [4 per cell]  4 Pd 2.72, 4 Ag 2.72
Pd (0.2500, 0.2500, 0.7500) [4 per cell]  4 Tc 2.72, 4 Pd 2.72

Properties
- ΔH_f (0 K) (kJ/mol of formula units) = 174
- DFT total energy (eV/cell) = -86.95

***

[20]
DFT (GGA-PBE) results for an optimized crystal structure of Hf3Bi4Pd3.

abc: 9.5983 9.5983 9.5983
angles: 90.00 90.00 90.00
With the nearest neighbours (Å) after each atom.
Space group I-43d (No. 220)
Inequivalent atoms, fractional coordinates:
Hf (0.0000, 0.2500, 0.8750) [12 per cell]  4 Pd 2.94, 4 Bi 3.20
Bi (0.0956, 0.4044, 0.5956) [16 per cell]  3 Pd 2.74
Pd (0.0000, 0.2500, 0.3750) [12 per cell]  4 Bi 2.74, 4 Hf 2.94

Properties
- DFT total energy (eV/cell) = -259.51

***

no.,calculated density (Mg/m³)
1,6.70
2,10.72
3,9.10
4,7.29
5,7.78
6,9.18
7,5.31
8,8.57
9,8.55
10,5.95
11,11.45
12,6.60
13,5.46
14,6.90
15,6.25
16,5.67
17,12.02
18,9.33
19,11.17
20,12.70